VASP calculation (GGA-PBE) on a geometry-optimized Fe3Pt4W2 structure.

Values from the calculation:
- ΔH_f (0 K) (meV per atom) = -193.9
- space group = C2/m
- DFT total energy (eV for the cell shown) = -77.20

a b c (Å): 3.8679 4.7846 8.1128
angles (deg): 72.05 90.01 66.16
Fractional coordinates of all 9 atoms:
Fe 0.0000 0.0000 0.0000
Fe 0.3326 0.3353 0.4467
Fe 0.6674 0.6647 0.5533
W 0.6753 0.6492 0.2370
W 0.3247 0.3508 0.7630
Pt 0.3345 0.3308 0.1103
Pt 0.6655 0.6692 0.8897
Pt 0.9930 0.0142 0.6669
Pt 0.0070 0.9858 0.3331